1.
# SiHAu2

An optimized crystal structure of SiHAu2 (PBE-GGA, Alexandria via LeMat-Bulk).

Calculated values
For the energy above the most stable polymorph in this dataset, the calculation gives 0 meV per atom. The value obtained for the theoretical density is 10.87 g/cm³.

Lattice parameters (Å, degrees): 5.081 5.081 6.163 65.66 65.66 90.00
Sites, in units of the cell vectors:
H: 0.500 0.500 0.000
Si: 0.750 0.250 0.500
Au: 0.201 0.625 0.250
Au: 0.375 0.451 0.750
Au: 0.875 0.799 0.750
Au: 0.549 0.125 0.250
H: 0.250 0.750 0.500
Si: 0.000 0.000 0.000


2.
# SiHAu2

An optimized crystal structure of SiHAu2 (PBE-GGA, Alexandria via LeMat-Bulk).

Calculated values
For the energy above the most stable polymorph in this dataset, the calculation gives 311 meV per atom. The value obtained for the theoretical density is 12.42 g/cm³.

Lattice parameters (Å, degrees): 4.309 4.309 4.309 60.00 60.00 60.00
Sites, in units of the cell vectors:
Au: 0.250 0.250 0.250
H: 0.000 0.000 0.000
Si: 0.500 0.500 0.500
Au: 0.750 0.750 0.750


3.
# SiHAu3

An optimized crystal structure of SiHAu3 (PBE-GGA, Alexandria via LeMat-Bulk).

Calculated values
For the energy above the most stable polymorph in this dataset, the calculation gives 0 meV per atom. The value obtained for the theoretical density is 13.60 g/cm³.

Lattice parameters (Å, degrees): 4.230 4.230 4.230 90.00 90.00 90.00
Sites, in units of the cell vectors:
H: 0.000 0.000 0.000
Au: 0.500 0.000 0.000
Au: 0.000 0.500 0.000
Au: 0.000 0.000 0.500
Si: 0.500 0.500 0.500


4.
# Si2HAu

An optimized crystal structure of Si2HAu (PBE-GGA, Alexandria via LeMat-Bulk).

Calculated values
For the energy above the most stable polymorph in this dataset, the calculation gives 0 meV per atom. The value obtained for the theoretical density is 7.13 g/cm³.

Lattice parameters (Å, degrees): 4.327 4.327 7.027 72.07 72.07 90.00
Sites, in units of the cell vectors:
Si: 0.875 0.759 0.750
Si: 0.241 0.625 0.250
H: 0.500 0.500 0.000
Si: 0.375 0.491 0.750
Au: 0.750 0.250 0.500
H: 0.250 0.750 0.500
Au: 0.000 0.000 0.000
Si: 0.509 0.125 0.250


Among the records above, which one has the highest theoretical density?
SiHAu3


Which formula does entry 4 have?
Si2HAu